# K4Ac3PmTe8, optimized geometry, DFT GGA-PBE
# Energy relative to the elements, uncorrected   -1.4717 eV/atom
# Mass density   5.068 Mg/m³
data_K4Ac3PmTe8
_chemical_formula_sum 'K4 Ac3 Pm1 Te8'
_symmetry_space_group_name_H-M 'P 1'
_symmetry_Int_Tables_number 1
_cell_length_a 9.951
_cell_length_b 9.951
_cell_length_c 9.951
_cell_angle_alpha 57.49
_cell_angle_beta 57.49
_cell_angle_gamma 57.49
loop_
_symmetry_equiv_pos_as_xyz
'x,y,z'
loop_
_atom_site_label
_atom_site_type_symbol
_atom_site_fract_x
_atom_site_fract_y
_atom_site_fract_z
_atom_site_occupancy
K1 K 0.000 0.000 0.000 1
K2 K 0.000 0.500 0.500 1
K3 K 0.500 0.000 0.500 1
K4 K 0.500 0.500 0.000 1
Ac1 Ac 0.000 0.000 0.500 1
Ac2 Ac 0.000 0.500 0.000 1
Ac3 Ac 0.500 0.000 0.000 1
Pm1 Pm 0.500 0.500 0.500 1
Te1 Te 0.242 0.242 0.242 1
Te2 Te 0.251 0.734 0.734 1
Te3 Te 0.266 0.266 0.749 1
Te4 Te 0.266 0.749 0.266 1
Te5 Te 0.734 0.251 0.734 1
Te6 Te 0.734 0.734 0.251 1
Te7 Te 0.749 0.266 0.266 1
Te8 Te 0.758 0.758 0.758 1